Crystalline Al4CoNi at its relaxed geometry, computed with PBE.

Computed properties:
Crystal system: cubic
Magnetization: 0.000 μB/atom
E: -4.43 eV/atom
SG: F-43m (216)

a b c (Å): 4.943 4.943 4.943
angles (deg): 60.00 60.00 60.00
Element x y z (fractional)
Al 0.125 0.125 0.125
Al 0.125 0.125 0.624
Al 0.125 0.624 0.125
Al 0.624 0.125 0.125
Co 0.500 0.500 0.500
Ni 0.750 0.750 0.750

Crystalline AlCo2Ni at its relaxed geometry, computed with PBE.

Computed properties:
Crystal system: trigonal
Magnetization: 0.752 μB/atom
E: -6.00 eV/atom
SG: R-3m (166)

a b c (Å): 2.583 2.583 24.074
angles (deg): 90.00 90.00 120.00
Element x y z (fractional)
Al 0.000 0.000 0.000
Al 0.333 0.667 0.667
Al 0.667 0.333 0.333
Co 0.000 0.000 0.249
Co 0.000 0.000 0.751
Co 0.333 0.667 0.417
Co 0.333 0.667 0.916
Co 0.667 0.333 0.084
Co 0.667 0.333 0.583
Ni 0.000 0.000 0.500
Ni 0.333 0.667 0.167
Ni 0.667 0.333 0.833

Crystalline AlCo2Ni at its relaxed geometry, computed with PBE.

Computed properties:
Crystal system: monoclinic
Magnetization: 0.633 μB/atom
E: -6.15 eV/atom
SG: Cm (8)

a b c (Å): 8.320 2.627 4.281
angles (deg): 90.00 102.44 90.00
Element x y z (fractional)
Al 0.000 0.000 0.000
Al 0.500 0.500 0.000
Co 0.253 0.500 0.281
Co 0.498 0.000 0.496
Co 0.753 0.000 0.281
Co 0.998 0.500 0.496
Ni 0.250 0.000 0.767
Ni 0.750 0.500 0.767

Crystalline AlCo2Ni at its relaxed geometry, computed with PBE.

Computed properties:
Crystal system: monoclinic
Magnetization: 0.771 μB/atom
E: -6.06 eV/atom
SG: P2/m (10)

a b c (Å): 2.548 4.163 4.412
angles (deg): 90.00 96.34 90.00
Element x y z (fractional)
Al 0.000 0.000 0.000
Co 0.276 0.500 0.747
Co 0.724 0.500 0.253
Ni 0.500 0.000 0.500

no.,DOS at the Fermi energy (states/eV per atom)
1,0.6801
2,0.8899
3,1.2593
4,1.3426